{
  "formula": "LiTh2Au",
  "functional": "PBE-GGA",
  "state": "relaxed",
  "dft_energy_ev_per_cell": -19.70,
  "volume_a3_per_atom": 29.72,
  "magmom_total_mub_per_atom": 0.00,
  "density_g_cm3": 9.3,
  "cell": [[-0.713, -3.161, 1.111], [0.590, -2.700, -2.024], [10.777, -2.860, 4.057]],
  "species": ["Th", "Th", "Au", "Li"],
  "frac_coords": [[0.097, 0.097, 0.710], [0.903, 0.903, 0.290], [0.500, 0.500, 0.500], [0.000, 0.000, 0.000]]
}


{
  "formula": "CaLaPmSn",
  "functional": "PBE-GGA",
  "state": "relaxed",
  "dft_energy_ev_per_cell": -16.89,
  "volume_a3_per_atom": 31.25,
  "magmom_total_mub_per_atom": 0.00,
  "density_g_cm3": 5.9,
  "cell": [[-3.401, -3.330, 2.974], [-3.495, -3.513, -2.635], [0.930, -5.532, 0.166]],
  "species": ["Sn", "Ca", "La", "Pm"],
  "frac_coords": [[0.250, 0.250, 0.250], [0.750, 0.750, 0.750], [0.500, 0.500, 0.500], [0.000, 0.000, 0.000]]
}


{
  "formula": "CoTcMoRh2",
  "functional": "PBE-GGA",
  "state": "relaxed",
  "dft_energy_ev_per_cell": -34.59,
  "volume_a3_per_atom": 20.08,
  "magmom_total_mub_per_atom": 0.73,
  "density_g_cm3": 7.6,
  "cell": [[-4.068, 2.142, -0.716], [0.297, -0.949, -4.531], [-2.239, -4.019, 0.695]],
  "species": ["Rh", "Rh", "Mo", "Tc", "Co"],
  "frac_coords": [[0.500, 0.000, 0.000], [0.000, 0.000, 0.500], [0.000, 0.500, 0.000], [0.000, 0.000, 0.000], [0.500, 0.500, 0.500]]
}


{
  "formula": "LaNiRu2",
  "functional": "PBE-GGA",
  "state": "relaxed",
  "dft_energy_ev_per_cell": -27.87,
  "e_above_lowest_polymorph_ev_per_fu": 1.65,
  "volume_a3_per_atom": 16.94,
  "magmom_total_mub_per_atom": 0.31,
  "density_g_cm3": 9.8,
  "cell": [[-1.761, -3.683, 2.850], [-0.204, -4.180, -2.697], [3.677, 3.274, 0.739]],
  "species": ["La", "Ru", "Ru", "Ni"],
  "frac_coords": [[0.250, 0.750, 0.500], [0.000, 0.000, 0.000], [0.500, 0.500, 0.000], [0.750, 0.250, 0.500]]
}


{
  "formula": "RePdAu2",
  "functional": "PBE-GGA",
  "state": "relaxed",
  "dft_energy_ev_per_cell": -22.02,
  "e_above_lowest_polymorph_ev_per_fu": 0.00,
  "volume_a3_per_atom": 16.50,
  "magmom_total_mub_per_atom": 0.28,
  "density_g_cm3": 17.3,
  "cell": [[-3.980, -1.502, 1.576], [-2.919, 2.895, 1.918], [-3.847, 1.094, -2.141]],
  "species": ["Au", "Au", "Pd", "Re"],
  "frac_coords": [[0.750, 0.750, 0.750], [0.250, 0.250, 0.250], [0.000, 0.000, 0.000], [0.500, 0.500, 0.500]]
}


{
  "formula": "Dy8YIr6",
  "functional": "PBE-GGA",
  "state": "relaxed",
  "dft_energy_ev_per_cell": -108.22,
  "volume_a3_per_atom": 23.74,
  "magmom_total_mub_per_atom": 0.00,
  "density_g_cm3": 11.9,
  "cell": [[-0.136, 7.092, 2.895], [2.470, 0.526, 7.233], [6.896, 3.248, 0.773]],
  "species": ["Ir", "Ir", "Ir", "Ir", "Ir", "Ir", "Dy", "Dy", "Dy", "Dy", "Dy", "Dy", "Dy", "Dy", "Y"],
  "frac_coords": [[0.391, 0.723, 0.057], [0.609, 0.277, 0.943], [0.723, 0.057, 0.391], [0.277, 0.943, 0.609], [0.943, 0.609, 0.277], [0.057, 0.391, 0.723], [0.779, 0.445, 0.112], [0.555, 0.888, 0.221], [0.667, 0.667, 0.667], [0.888, 0.221, 0.555], [0.112, 0.779, 0.445], [0.445, 0.112, 0.779], [0.221, 0.555, 0.888], [0.333, 0.333, 0.333], [0.000, 0.000, 0.000]]
}


Q: Which formula does entry 4 have?
A: LaNiRu2